(1)
VASP calculation (PBE) on Tm8P3S4N after structural relaxation.

As for the formation energy without anion corrections: -1.80 eV per atom. For the magnetic moment, the calculation gives 0.000 Bohr magnetons per cell. Its final energy is -317.09 eV per cell.

Unit cell a=7.6575 b=7.6575 c=18.9306 alpha=90.00 beta=90.00 gamma=120.00
Space group R-3m (No. 166, hexagonal axes)
Inequivalent atoms, fractional coordinates:
Tm 0.0000 0.0000 0.2475 [6 per cell]
Tm 0.0205 0.5103 0.2424 [18 per cell]
P 0.0000 0.5000 0.5000 [9 per cell]
S 0.0000 0.0000 0.0000 [3 per cell]
S 0.0000 0.5000 0.0000 [9 per cell]
N 0.0000 0.0000 0.5000 [3 per cell]



(2)
VASP calculation (PBE) on VPSN2 after structural relaxation.

As for the formation energy without anion corrections: 0.58 eV per atom. For the magnetic moment, the calculation gives 3.157 Bohr magnetons per cell. Its final energy is -32.39 eV per cell.

Unit cell a=3.318 b=3.318 c=7.065 alpha=90.00 beta=90.00 gamma=90.00
Space group P4/mmm (No. 123)
Inequivalent atoms, fractional coordinates:
V 0.000 0.000 0.000 [1 per cell]
P 0.500 0.500 0.500 [1 per cell]
S 0.500 0.500 0.000 [1 per cell]
N 0.000 0.500 0.500 [2 per cell]



(3)
VASP calculation (PBE) on P2WSN after structural relaxation.

As for the formation energy without anion corrections: 1.36 eV per atom. As for the relative energy among the computed polymorphs: 8.14 kcal/mol of atoms. For the magnetic moment, the calculation gives 2.254 Bohr magnetons per cell. Its final energy is -29.41 eV per cell.

Unit cell a=4.746 b=4.746 c=4.620 alpha=90.00 beta=90.00 gamma=90.00
Space group P4/mmm (No. 123)
Inequivalent atoms, fractional coordinates:
P 0.000 0.500 0.000 [2 per cell]
W 0.000 0.000 0.000 [1 per cell]
S 0.000 0.000 0.500 [1 per cell]
N 0.500 0.500 0.500 [1 per cell]



(4)
VASP calculation (PBE) on PWSN2 after structural relaxation.

As for the formation energy without anion corrections: 0.73 eV per atom. As for the relative energy among the computed polymorphs: 0.00 kcal/mol of atoms. For the magnetic moment, the calculation gives 0.604 Bohr magnetons per cell. Its final energy is -35.48 eV per cell.

Unit cell a=3.882 b=3.882 c=5.030 alpha=90.00 beta=90.00 gamma=90.00
Space group P4/mmm (No. 123)
Inequivalent atoms, fractional coordinates:
P 0.000 0.000 0.000 [1 per cell]
W 0.500 0.500 0.500 [1 per cell]
S 0.500 0.500 0.000 [1 per cell]
N 0.000 0.500 0.500 [2 per cell]



(5)
VASP calculation (PBE) on P2WSN after structural relaxation.

As for the formation energy without anion corrections: 1.01 eV per atom. As for the relative energy among the computed polymorphs: 0.00 kcal/mol of atoms. For the magnetic moment, the calculation gives 0.669 Bohr magnetons per cell. Its final energy is -31.18 eV per cell.

Unit cell a=3.910 b=3.910 c=4.138 alpha=90.00 beta=90.00 gamma=90.00
Space group P4/mmm (No. 123)
Inequivalent atoms, fractional coordinates:
P 0.000 0.500 0.000 [2 per cell]
W 0.000 0.000 0.500 [1 per cell]
S 0.500 0.500 0.500 [1 per cell]
N 0.500 0.500 0.000 [1 per cell]



(6)
VASP calculation (PBE) on PWSN2 after structural relaxation.

As for the formation energy without anion corrections: 1.25 eV per atom. As for the relative energy among the computed polymorphs: 11.85 kcal/mol of atoms. For the magnetic moment, the calculation gives 1.077 Bohr magnetons per cell. Its final energy is -32.91 eV per cell.

Unit cell a=3.565 b=3.565 c=4.374 alpha=90.00 beta=90.00 gamma=90.00
Space group P4/mmm (No. 123)
Inequivalent atoms, fractional coordinates:
P 0.000 0.000 0.000 [1 per cell]
W 0.500 0.500 0.500 [1 per cell]
S 0.000 0.000 0.500 [1 per cell]
N 0.000 0.500 0.000 [2 per cell]